[1]
Ac2La6Pr3: optimized geometry, PBE-GGA.

It has space group P-1 (No. 2), with a = 6.5278 Å, b = 8.4351 Å, c = 8.4747 Å, α = 107.40°, β = 97.70° and γ = 105.10°. The distinct sites, in fractional coordinates, are Ac at (0.0943, 0.3629, 0.3151), La at (0.1844, 0.7315, 0.1388), La at (0.2765, 0.0920, 0.9538), La at (0.4559, 0.8242, 0.5920), Pr at (0.0000, 0.0000, 0.5000) and Pr at (0.3611, 0.4513, 0.7778).

The formation enthalpy at 0 K comes out at 0.02 eV per atom.

---

[2]
FeP2Pb: optimized geometry, PBE-GGA.

It has space group I-4m2 (No. 119), with a = 3.9393 Å, b = 3.9393 Å, c = 9.6606 Å, α = 90.00°, β = 90.00° and γ = 90.00°. The distinct sites, in fractional coordinates, are Fe at (0.0000, 0.0000, 0.0000), P at (0.0000, 0.0000, 0.5000), P at (0.0000, 0.5000, 0.7500) and Pb at (0.0000, 0.5000, 0.2500).

The formation enthalpy at 0 K comes out at 0.76 eV per atom.

---

[3]
NaZrS3: optimized geometry, PBE-GGA.

It has space group Pm-3m (No. 221), with a = 4.6978 Å, b = 4.6978 Å, c = 4.6978 Å, α = 90.00°, β = 90.00° and γ = 90.00°. The distinct sites, in fractional coordinates, are Na at (0.0000, 0.0000, 0.0000), Zr at (0.5000, 0.5000, 0.5000) and S at (0.0000, 0.0000, 0.5000).

Its energy above the most stable polymorph in this dataset is 1402.7 meV per atom. The formation energy from raw total energies is 0.38 eV per atom.

---

[4]
Pt3O4: optimized geometry, PBE-GGA.

It has space group Pm-3n (No. 223), with a = 5.6670 Å, b = 5.6670 Å, c = 5.6670 Å, α = 90.00°, β = 90.00° and γ = 90.00°. The distinct sites, in fractional coordinates, are Pt at (0.0000, 0.2500, 0.5000) and O at (0.2500, 0.2500, 0.2500).

Its energy above the most stable polymorph in this dataset is 0.0 meV per atom. The formation energy from raw total energies is -0.43 eV per atom.